No. 1
The following is a DFT calculation (GGA-PBE) of a relaxed structure of LiHgRh2.

Cell: 4.8842 4.8842 2.8807 Å, 90.00 90.00 113.79°
With the nearest neighbours (Å) after each atom.
Sites, in units of the cell vectors:
Li: 0.0000 0.0000 0.0000  2 Hg 2.67, 8 Rh 2.84, 2 Li 2.88
Hg: 0.5000 0.5000 0.0000  2 Li 2.67, 8 Rh 2.84, 2 Hg 2.88
Rh: 0.0000 0.5000 0.5000  4 Rh 2.67-2.88, 4 Hg 2.84, 4 Li 2.84
Rh: 0.5000 0.0000 0.5000  4 Rh 2.67-2.88, 4 Hg 2.84, 4 Li 2.84

Results
Its density of states at the Fermi level is 5.7 states/eV/f.u. Its theoretical density is 10.92 g cm⁻³. For the total energy, the calculation gives -0.305 Ry/atom. The energy of formation is 0.34 eV/f.u. As for the space group: Cmmm (65).

No. 2
The following is a DFT calculation (GGA-PBE) of a relaxed structure of Li2HgRh.

Cell: 2.8151 4.2627 5.3267 Å, 90.00 105.15 90.00°
With the nearest neighbours (Å) after each atom.
Sites, in units of the cell vectors:
Li: 0.0000 0.0000 0.0000  4 Li 2.53-2.82, 2 Rh 2.70-2.80, 4 Hg 2.81-2.83
Li: 0.1566 0.5000 0.2658  4 Li 2.53-2.82, 1 Hg 2.57, 4 Rh 2.76-2.79
Hg: 0.3917 0.5000 0.7663  5 Li 2.57-2.83, 2 Hg 2.82
Rh: 0.7513 0.0000 0.4754  7 Li 2.70-2.84, 2 Rh 2.82, 4 Hg 2.96

Results
Its density of states at the Fermi level is 2.2 states/eV/f.u. Its theoretical density is 8.54 g cm⁻³. For the total energy, the calculation gives -0.221 Ry/atom. The energy of formation is -0.53 eV/f.u. As for the space group: Pm (6).

No. 3
The following is a DFT calculation (GGA-PBE) of a relaxed structure of LiHgRh2.

Cell: 2.8505 3.8503 5.6853 Å, 90.00 90.21 90.00°
With the nearest neighbours (Å) after each atom.
Sites, in units of the cell vectors:
Li: 0.0000 0.0000 0.0000  5 Rh 2.57-2.80, 4 Hg 2.76-2.77, 2 Li 2.85
Hg: 0.4995 0.5000 0.7577  4 Li 2.76-2.77, 6 Rh 2.82-2.96, 2 Hg 2.85
Rh: 0.0007 0.0000 0.4529  1 Li 2.57, 6 Rh 2.65-2.85
Rh: 0.4996 0.5000 0.2539  6 Rh 2.65-2.85, 4 Li 2.79-2.80, 2 Hg 2.82-2.86

Results
Its density of states at the Fermi level is 5.3 states/eV/f.u. Its theoretical density is 11.00 g cm⁻³. For the total energy, the calculation gives -0.313 Ry/atom. The energy of formation is -0.12 eV/f.u. As for the space group: Pm (6).

No. 4
The following is a DFT calculation (GGA-PBE) of a relaxed structure of LiHgRh2.

Cell: 9.9258 9.9258 9.9258 Å, 158.27 158.27 30.92°
With the nearest neighbours (Å) after each atom.
Sites, in units of the cell vectors:
Li: 0.0000 0.0000 0.0000  4 Hg 2.65, 4 Rh 2.71
Li: 0.7500 0.2500 0.5000  4 Hg 2.65, 4 Rh 2.71
Hg: 0.2500 0.7500 0.5000  4 Li 2.65, 4 Rh 2.76
Hg: 0.5000 0.5000 0.0000  4 Li 2.65, 4 Rh 2.76
Rh: 0.1061 0.6250 0.9811  4 Rh 2.55-2.75, 2 Li 2.71, 2 Hg 2.76
Rh: 0.3750 0.3561 0.4811  4 Rh 2.55-2.75, 2 Li 2.71, 2 Hg 2.76
Rh: 0.6439 0.1250 0.0189  4 Rh 2.55-2.75, 2 Li 2.71, 2 Hg 2.76
Rh: 0.8750 0.8939 0.5189  4 Rh 2.55-2.75, 2 Li 2.71, 2 Hg 2.76

Results
Its density of states at the Fermi level is 4.3 states/eV/f.u. Its theoretical density is 10.25 g cm⁻³. For the total energy, the calculation gives -0.295 Ry/atom. The energy of formation is 0.87 eV/f.u. As for the space group: I-42d (122).

No. 5
The following is a DFT calculation (GGA-PBE) of a relaxed structure of Li2HgRh.

Cell: 2.8408 2.8408 8.8669 Å, 90.00 90.00 113.89°
With the nearest neighbours (Å) after each atom.
Sites, in units of the cell vectors:
Li: 0.0000 0.0000 0.2223  2 Rh 2.51
Li: 0.0000 0.0000 0.7777  2 Rh 2.51
Hg: 0.5000 0.5000 0.5000  6 Hg 2.84-3.10, 4 Li 2.91
Rh: 0.5000 0.5000 0.0000  4 Li 2.51

Results
Its density of states at the Fermi level is 2.7 states/eV/f.u. Its theoretical density is 8.06 g cm⁻³. For the total energy, the calculation gives -0.217 Ry/atom. The energy of formation is -0.35 eV/f.u. As for the space group: Cmmm (65).

No. 6
The following is a DFT calculation (GGA-PBE) of a relaxed structure of LiHg3Rh.

Cell: 4.7082 4.7082 4.7082 Å, 90.00 90.00 90.00°
With the nearest neighbours (Å) after each atom.
Sites, in units of the cell vectors:
Li: 0.0000 0.0000 0.0000  6 Hg 2.35
Hg: 0.0000 0.0000 0.5000  2 Li 2.35
Hg: 0.0000 0.5000 0.0000  2 Li 2.35
Hg: 0.5000 0.0000 0.0000  2 Li 2.35
Rh: 0.5000 0.5000 0.5000  12 Hg 3.33

Results
As for the energy relative to the lowest polymorph listed for this composition: 491.8 meV per atom. Its density of states at the Fermi level is 7.2 states/eV/f.u. Its theoretical density is 11.32 g cm⁻³. For the total energy, the calculation gives -0.108 Ry/atom. The energy of formation is 2.86 eV/f.u. As for the space group: Pm-3m (221).

No. 7
The following is a DFT calculation (GGA-PBE) of a relaxed structure of Li2HgRh.

Cell: 4.0174 4.0174 3.7070 Å, 90.00 90.00 90.00°
With the nearest neighbours (Å) after each atom.
Sites, in units of the cell vectors:
Li: 0.0000 0.5000 0.0000  4 Rh 2.73, 4 Hg 2.73, 4 Li 2.84
Li: 0.5000 0.0000 0.0000  4 Rh 2.73, 4 Hg 2.73, 4 Li 2.84
Hg: 0.0000 0.0000 0.5000  8 Li 2.73, 4 Rh 2.84
Rh: 0.5000 0.5000 0.5000  8 Li 2.73, 4 Hg 2.84

Results
Its density of states at the Fermi level is 2.3 states/eV/f.u. Its theoretical density is 8.81 g cm⁻³. For the total energy, the calculation gives -0.228 Ry/atom. The energy of formation is -0.95 eV/f.u. As for the space group: P4/mmm (123).

No. 8
The following is a DFT calculation (GGA-PBE) of a relaxed structure of LiHgRh2.

Cell: 2.8069 4.3374 5.2082 Å, 90.00 104.67 90.00°
With the nearest neighbours (Å) after each atom.
Sites, in units of the cell vectors:
Li: 0.0000 0.0000 0.0000  4 Rh 2.55, 2 Hg 2.63, 2 Li 2.81
Hg: 0.5000 0.0000 0.5000  2 Li 2.63, 2 Hg 2.81, 4 Rh 2.90
Rh: 0.1551 0.5000 0.7761  2 Li 2.55, 5 Rh 2.63-2.81
Rh: 0.8449 0.5000 0.2239  2 Li 2.55, 5 Rh 2.63-2.81

Results
Its density of states at the Fermi level is 4.4 states/eV/f.u. Its theoretical density is 11.19 g cm⁻³. For the total energy, the calculation gives -0.310 Ry/atom. The energy of formation is 0.02 eV/f.u. As for the space group: P2/m (10).

No. 9
The following is a DFT calculation (GGA-PBE) of a relaxed structure of Li2HgRh.

Cell: 4.9667 4.9667 4.9667 Å, 137.93 130.78 66.70°
With the nearest neighbours (Å) after each atom.
Sites, in units of the cell vectors:
Li: 0.0000 0.0000 0.0000  4 Li 2.70-2.96, 4 Rh 2.70-2.96, 4 Hg 2.73
Li: 0.7560 0.2560 0.5000  4 Li 2.70-2.96, 4 Rh 2.73, 4 Hg 2.74-2.93
Hg: 0.5060 0.5060 0.0000  8 Li 2.73-2.93, 4 Rh 2.81-2.86
Rh: 0.2446 0.7446 0.5000  8 Li 2.70-2.96, 4 Hg 2.81-2.86

Results
Its density of states at the Fermi level is 1.2 states/eV/f.u. Its theoretical density is 8.61 g cm⁻³. For the total energy, the calculation gives -0.226 Ry/atom. The energy of formation is -0.82 eV/f.u. As for the space group: Imm2 (44).

No. 10
The following is a DFT calculation (GGA-PBE) of a relaxed structure of Li4HgRh.

Cell: 8.0748 8.0748 4.3412 Å, 90.00 90.00 140.17°
With the nearest neighbours (Å) after each atom.
Sites, in units of the cell vectors:
Li: 0.0315 0.4475 0.2500  4 Li 2.52-2.63
Li: 0.1814 0.2657 0.2500  4 Li 2.46-2.52
Li: 0.2657 0.1814 0.7500  4 Li 2.46-2.52
Li: 0.4475 0.0315 0.7500  4 Li 2.52-2.63
Li: 0.5525 0.9685 0.2500  4 Li 2.52-2.63
Li: 0.7343 0.8186 0.2500  4 Li 2.46-2.52
Li: 0.8186 0.7343 0.7500  4 Li 2.46-2.52
Li: 0.9685 0.5525 0.7500  4 Li 2.52-2.63
Hg: 0.3776 0.6224 0.7500  2 Rh 2.75, 12 Li 2.89-2.93
Hg: 0.6224 0.3776 0.2500  2 Rh 2.75, 12 Li 2.89-2.93
Rh: 0.1257 0.8743 0.2500  2 Hg 2.75, 12 Li 2.80-2.90
Rh: 0.8743 0.1257 0.7500  2 Hg 2.75, 12 Li 2.80-2.90

Results
As for the energy relative to the lowest polymorph listed for this composition: 0.0 meV per atom. Its density of states at the Fermi level is 2.2 states/eV/f.u. Its theoretical density is 6.07 g cm⁻³. For the total energy, the calculation gives -0.205 Ry/atom. The energy of formation is -1.40 eV/f.u. As for the space group: Cmcm (63).

No. 11
The following is a DFT calculation (GGA-PBE) of a relaxed structure of LiHgRh.

Cell: 4.3670 4.3670 2.9126 Å, 90.00 90.00 120.00°
With the nearest neighbours (Å) after each atom.
Sites, in units of the cell vectors:
Li: 0.0000 0.0000 0.0000  3 Rh 2.62, 3 Hg 2.67, 2 Li 2.91
Hg: 0.3333 0.6667 0.6959  3 Li 2.67, 6 Rh 2.85-2.98, 2 Hg 2.91
Rh: 0.6667 0.3333 0.2415  3 Li 2.62, 3 Hg 2.85, 2 Rh 2.91

Results
As for the energy relative to the lowest polymorph listed for this composition: 18.6 meV per atom. Its density of states at the Fermi level is 2.4 states/eV/f.u. Its theoretical density is 10.72 g cm⁻³. For the total energy, the calculation gives -0.239 Ry/atom. The energy of formation is -0.18 eV/f.u. As for the space group: P3m1 (156).

No. 12
The following is a DFT calculation (GGA-PBE) of a relaxed structure of LiHgRh2.

Cell: 3.8324 3.8324 4.1934 Å, 90.00 90.00 90.00°
With the nearest neighbours (Å) after each atom.
Sites, in units of the cell vectors:
Li: 0.0000 0.0000 0.0000  4 Hg 2.71, 8 Rh 2.84
Hg: 0.5000 0.5000 0.0000  4 Li 2.71, 8 Rh 2.84
Rh: 0.0000 0.5000 0.5000  4 Rh 2.71, 4 Hg 2.84, 4 Li 2.84
Rh: 0.5000 0.0000 0.5000  4 Rh 2.71, 4 Hg 2.84, 4 Li 2.84

Results
Its density of states at the Fermi level is 5.7 states/eV/f.u. Its theoretical density is 11.14 g cm⁻³. For the total energy, the calculation gives -0.311 Ry/atom. The energy of formation is 0.00 eV/f.u. As for the space group: P4/mmm (123).